# VHgMo3 PBE-GGA optimized geometry
data_VHgMo3
_cell_length_a 4.552
_cell_length_b 4.552
_cell_length_c 4.552
_cell_angle_alpha 90.00
_cell_angle_beta 90.00
_cell_angle_gamma 90.00
_symmetry_space_group_name_H-M 'P m -3 m'
_symmetry_Int_Tables_number 221
_symmetry_space_group_name_Hall '-P 4 2 3'
loop_
_atom_site_label
_atom_site_fract_x
_atom_site_fract_y
_atom_site_fract_z
V1 0.000 0.000 0.000
Hg1 0.500 0.500 0.500
Mo1 0.000 0.000 0.500
# **Calculated volume**: 94.3 Å³/cell
# **ΔE to the lowest computed polymorph**: 0 meV/atom
# **Calculated formation energy**: 1.239 eV/atom
# **Total moment**: 0.0 μB/cell